Computed, not measured: a relaxed structure of Cd2Hg2Bi at the PBE level of DFT.

Output
total moment: 0.0 μB/cell
ΔE to the lowest computed polymorph: 34 meV/atom
ΔE_f: 2.2 kcal/mol of atoms

CIF file:
```
data_Cd2Hg2Bi
_cell_length_a 4.3146
_cell_length_b 4.3146
_cell_length_c 14.3241
_cell_angle_alpha 90.00
_cell_angle_beta 90.00
_cell_angle_gamma 90.00
_space_group_name_H-M_alt 'I 4/m m m'
_space_group_IT_number 139
_space_group_name_Hall '-I 4 2'
loop_
_atom_site_label
_atom_site_type_symbol
_atom_site_fract_x
_atom_site_fract_y
_atom_site_fract_z
Cd1 Cd 0.0000 0.0000 0.0989
Hg1 Hg 0.0000 0.5000 0.2500
Bi1 Bi 0.0000 0.0000 0.5000
```